Sr2LiHg (PBE-GGA, optimized geometry); symmetry = P4mm; formation enthalpy at 0 K = -0.23 eV per atom; total magnetization = 0.00 μB per atom
1.0
3.956 0.000 0.000
0.000 3.956 0.000
0.000 0.000 8.758
Sr Li Hg
2 1 1
direct
0.000 0.000 0.000 Sr
0.500 0.500 0.373 Sr
0.500 0.500 0.743 Li
0.000 0.000 0.606 Hg


Sr6Li5Hg (PBE-GGA, optimized geometry); symmetry = P2/m; formation enthalpy at 0 K = -0.07 eV per atom; total magnetization = 0.00 μB per atom
1.0
5.890 0.000 0.000
0.000 8.361 0.000
-2.940 0.000 8.839
Sr Li Hg
6 5 1
direct
0.000 0.239 0.000 Sr
0.000 0.761 0.000 Sr
0.339 0.244 0.677 Sr
0.339 0.756 0.677 Sr
0.661 0.244 0.323 Sr
0.661 0.756 0.323 Sr
0.166 0.500 0.336 Li
0.171 0.000 0.344 Li
0.500 0.500 0.000 Li
0.829 0.000 0.656 Li
0.834 0.500 0.664 Li
0.500 0.000 0.000 Hg


The records above yield total DFT energy (no corrections) values of -6.51, -20.81 eV/cell, respectively.